An optimized crystal structure of TlHgMo. Source: the Alexandria database, functional PBE-GGA.

The value obtained for the excess energy over the best structure of this formula in the dataset is 0.135 eV/atom. For the density, the calculation gives 13.10 g cm⁻³. The value obtained for the total energy is -3.674 eV/atom. Its volume is 127 Å³ per cell.

It has space group Imm2 (No. 44), with a = 3.027 Å, b = 3.709 Å, c = 11.310 Å, α = 90.00°, β = 90.00° and γ = 90.00°. The distinct sites, in fractional coordinates, are Tl at (0.000, 0.000, 0.000), Hg at (0.000, 0.000, 0.696) and Mo at (0.000, 0.000, 0.342).